An optimized crystal structure of KLa2Sc. Source: Alexandria, functional PBE.

abc: 3.947 3.944 10.561
angles: 90.00 90.05 90.00
Element x y z (fractional)
K 0.000 0.000 0.000
La 0.500 0.500 0.318
La 0.500 0.500 0.682
Sc 0.000 0.000 0.500

Summary:
- Calculated total energy: -4.11 eV/atom
- Formation energy from the elements: 81 kJ/mol of formula units
- Distance to the lowest polymorph of the same formula: 0.018 eV/atom

An optimized crystal structure of TmZr2Zn. Source: Alexandria, functional PBE.

abc: 9.907 9.907 9.907
angles: 19.31 19.31 19.31
Element x y z (fractional)
Tm 0.000 0.000 0.000
Zr 0.241 0.241 0.241
Zr 0.425 0.425 0.425
Zn 0.833 0.833 0.833

Summary:
- Calculated total energy: -5.67 eV/atom
- Formation energy from the elements: 14 kJ/mol of formula units
- Distance to the lowest polymorph of the same formula: 0.167 eV/atom

An optimized crystal structure of TaV3H. Source: Alexandria, functional PBE.

abc: 3.961 3.961 3.961
angles: 90.00 90.00 90.00
Element x y z (fractional)
Ta 0.000 0.000 0.000
V 0.000 0.500 0.500
V 0.500 0.000 0.500
V 0.500 0.500 0.000
H 0.500 0.500 0.500

Summary:
- Calculated total energy: -8.41 eV/atom
- Distance to the lowest polymorph of the same formula: 0.173 eV/atom

An optimized crystal structure of TcPb3. Source: Alexandria, functional PBE.

abc: 7.505 7.505 7.505
angles: 154.53 144.22 44.43
Element x y z (fractional)
Tc 0.000 0.000 0.000
Pb 0.178 0.678 0.500
Pb 0.500 0.500 0.000
Pb 0.822 0.322 0.500

Summary:
- Calculated total energy: -4.96 eV/atom
- Formation energy from the elements: 161 kJ/mol of formula units
- Distance to the lowest polymorph of the same formula: 0.111 eV/atom

An optimized crystal structure of GeS6Cl2. Source: Alexandria, functional PBE.

abc: 7.824 7.041 11.289
angles: 90.00 102.21 90.00
Element x y z (fractional)
Ge 0.000 0.198 0.000
Ge 0.000 0.802 0.500
S 0.108 0.099 0.550
S 0.108 0.901 0.050
S 0.249 0.133 0.417
S 0.249 0.867 0.917
S 0.517 0.140 0.493
S 0.517 0.860 0.993
S 0.597 0.399 0.440
S 0.597 0.601 0.940
S 0.632 0.389 0.073
S 0.632 0.611 0.573
S 0.894 0.363 0.144
S 0.894 0.637 0.644
Cl 0.202 0.370 0.950
Cl 0.202 0.630 0.450
Cl 0.799 0.176 0.836
Cl 0.799 0.824 0.336

Summary:
- Calculated total energy: -3.93 eV/atom
- E_form (uncorrected): -0.255 eV/atom

An optimized crystal structure of VRe2Ru. Source: Alexandria, functional PBE.

abc: 9.508 9.508 9.508
angles: 16.48 16.48 16.48
Element x y z (fractional)
V 0.000 0.000 0.000
Re 0.088 0.088 0.088
Re 0.912 0.912 0.912
Ru 0.500 0.500 0.500

Summary:
- Calculated total energy: -10.41 eV/atom
- Formation energy from the elements: 160 kJ/mol of formula units
- Distance to the lowest polymorph of the same formula: 0.261 eV/atom

An optimized crystal structure of Fe2Cu3Ni8. Source: Alexandria, functional PBE.

abc: 9.218 9.218 9.218
angles: 28.70 28.70 28.70
Element x y z (fractional)
Fe 0.140 0.140 0.140
Fe 0.860 0.860 0.860
Cu 0.317 0.317 0.317
Cu 0.500 0.500 0.500
Cu 0.683 0.683 0.683
Ni 0.226 0.226 0.226
Ni 0.233 0.233 0.730
Ni 0.233 0.730 0.233
Ni 0.270 0.767 0.767
Ni 0.730 0.233 0.233
Ni 0.767 0.270 0.767
Ni 0.767 0.767 0.270
Ni 0.774 0.774 0.774

Summary:
- Calculated total energy: -5.55 eV/atom
- Formation energy from the elements: 325 kJ/mol of formula units

An optimized crystal structure of Pm2BC3. Source: Alexandria, functional PBE.

abc: 6.865 6.659 5.288
angles: 69.06 64.94 46.00
Element x y z (fractional)
Pm 0.207 0.793 0.793
Pm 0.250 0.250 0.250
Pm 0.750 0.750 0.750
Pm 0.793 0.207 0.207
B 0.345 0.345 0.655
B 0.655 0.655 0.345
C 0.209 0.209 0.791
C 0.270 0.603 0.397
C 0.397 0.730 0.270
C 0.603 0.270 0.730
C 0.730 0.397 0.603
C 0.791 0.791 0.209

Summary:
- Calculated total energy: -7.40 eV/atom
- Formation energy from the elements: -53 kJ/mol of formula units